Record 1
! CaAgPbO4 | Alexandria | PBE | relaxed; values from VASP
&SYSTEM
  ibrav = 0, nat = 14, ntyp = 4
/
ATOMIC_SPECIES
O 16.00 O.upf
Ag 107.87 Ag.upf
Ca 40.08 Ca.upf
Pb 207.20 Pb.upf
CELL_PARAMETERS angstrom
-2.2168 -0.9248 -6.0861
6.8653 0.3944 0.9565
-3.1330 -5.4639 1.9714
ATOMIC_POSITIONS crystal
O 0.2586 0.9673 0.2336
O 0.7414 0.0327 0.7664
O 0.2836 0.5672 0.7565
O 0.7164 0.4328 0.6893
O 0.2913 0.0327 0.7664
O 0.2836 0.5672 0.3107
O 0.7087 0.9673 0.2336
O 0.7164 0.4328 0.2435
Ag 0.0000 0.5000 0.5000
Ag 0.5000 0.5000 0.5000
Ca 0.8514 0.7027 0.1014
Ca 0.1486 0.2973 0.8986
Pb 0.5000 0.0000 0.0000
Pb 0.5000 0.0000 0.5000
! - symmetry = No. 74
! - electronic total energy (eV/atom) = -5.270
! - DOS at the Fermi energy (states/eV/atom) = 0.218
! - theoretical density (g cm⁻³) = 6.249



Record 2
! CaPrAg2O6 | Alexandria | PBE | relaxed; values from VASP
&SYSTEM
  ibrav = 0, nat = 20, ntyp = 4
/
ATOMIC_SPECIES
Pr 140.91 Pr.upf
O 16.00 O.upf
Ag 107.87 Ag.upf
Ca 40.08 Ca.upf
CELL_PARAMETERS angstrom
-0.0960 2.8702 4.8388
-4.6382 -3.2431 1.8317
4.9948 -5.3088 3.2481
ATOMIC_POSITIONS crystal
Pr 0.5212 0.3177 0.5000
Pr 0.0212 0.6823 0.0000
O 0.8828 0.2951 0.0000
O 0.1990 0.9487 0.1920
O 0.3004 0.4498 0.8085
O 0.1141 0.2014 0.5000
O 0.8004 0.5502 0.6915
O 0.6990 0.0513 0.6920
O 0.6990 0.0513 0.3080
O 0.3004 0.4498 0.1915
O 0.1990 0.9487 0.8080
O 0.8004 0.5502 0.3085
O 0.3828 0.7049 0.5000
O 0.6141 0.7986 0.0000
Ag 0.0004 0.2471 0.7506
Ag 0.5004 0.7529 0.7494
Ag 0.5004 0.7529 0.2506
Ag 0.0004 0.2471 0.2494
Ca 0.4801 0.1810 0.0000
Ca 0.9801 0.8190 0.5000
! - symmetry = No. 31
! - electronic total energy (eV/atom) = -5.588
! - DOS at the Fermi energy (states/eV/atom) = 0.415
! - theoretical density (g cm⁻³) = 6.126



Record 3
! Ca2PuAg2O6 | Alexandria | PBE | relaxed; values from VASP
&SYSTEM
  ibrav = 0, nat = 11, ntyp = 4
/
ATOMIC_SPECIES
O 16.00 O.upf
Ag 107.87 Ag.upf
Ca 40.08 Ca.upf
Pu 244.00 Pu.upf
CELL_PARAMETERS angstrom
5.7700 0.6164 -0.1430
-2.3160 5.3206 -0.1430
-1.4267 -2.4524 5.4380
ATOMIC_POSITIONS crystal
O 0.8187 0.8187 0.6986
O 0.9654 0.6510 0.2339
O 0.1813 0.1813 0.3014
O 0.3490 0.0346 0.7661
O 0.0346 0.3490 0.7661
O 0.6510 0.9654 0.2339
Ag 0.3498 0.6502 0.5000
Ag 0.6502 0.3498 0.5000
Ca 0.8088 0.1912 0.0000
Ca 0.1912 0.8088 0.0000
Pu 0.0000 0.0000 0.5000
! - symmetry = No. 12
! - electronic total energy (eV/atom) = -6.928
! - DOS at the Fermi energy (states/eV/atom) = 0.632
! - theoretical density (g cm⁻³) = 6.178



Record 4
! CaPuAgO6 | Alexandria | PBE | relaxed; values from VASP
&SYSTEM
  ibrav = 0, nat = 18, ntyp = 4
/
ATOMIC_SPECIES
Ca 40.08 Ca.upf
Ag 107.87 Ag.upf
O 16.00 O.upf
Pu 244.00 Pu.upf
CELL_PARAMETERS angstrom
5.4907 0.0000 0.0000
-2.7454 4.7551 0.0000
0.0000 0.0000 10.1966
ATOMIC_POSITIONS crystal
Ca 0.0000 0.0000 0.0000
Ca 0.0000 0.0000 0.5000
Ag 0.6667 0.3333 0.7500
Ag 0.3333 0.6667 0.2500
O 0.6318 0.9690 0.8623
O 0.3682 0.3372 0.3623
O 0.3372 0.9690 0.6377
O 0.3682 0.0310 0.1377
O 0.6628 0.6318 0.1377
O 0.6628 0.0310 0.3623
O 0.3372 0.3682 0.8623
O 0.0310 0.3682 0.6377
O 0.9690 0.3372 0.1377
O 0.0310 0.6628 0.8623
O 0.6318 0.6628 0.6377
O 0.9690 0.6318 0.3623
Pu 0.3333 0.6667 0.7500
Pu 0.6667 0.3333 0.2500
! - symmetry = No. 163
! - electronic total energy (eV/atom) = -7.209
! - DOS at the Fermi energy (states/eV/atom) = 0.514
! - theoretical density (g cm⁻³) = 6.087



Record 5
! CaPuAg2O8 | Alexandria | PBE | relaxed; values from VASP
&SYSTEM
  ibrav = 0, nat = 12, ntyp = 4
/
ATOMIC_SPECIES
O 16.00 O.upf
Ag 107.87 Ag.upf
Pu 244.00 Pu.upf
Ca 40.08 Ca.upf
CELL_PARAMETERS angstrom
6.1294 0.5175 0.0000
-2.2547 5.7230 0.0000
-1.9373 -3.1203 4.9343
ATOMIC_POSITIONS crystal
O 0.9761 0.6995 0.7234
O 0.3005 0.0239 0.2766
O 0.7473 0.0239 0.7234
O 0.8838 0.7165 0.1673
O 0.5493 0.7165 0.8327
O 0.9761 0.2527 0.2766
O 0.2835 0.1162 0.8327
O 0.2835 0.4507 0.1673
Ag 0.7500 0.2500 0.5000
Ag 0.5000 0.5000 0.0000
Pu 0.0000 0.0000 0.0000
Ca 0.2500 0.7500 0.5000
! - symmetry = No. 119
! - electronic total energy (eV/atom) = -6.201
! - DOS at the Fermi energy (states/eV/atom) = 0.103
! - theoretical density (g cm⁻³) = 5.829



Record 6
! Ca2ReAg2O6 | Alexandria | PBE | relaxed; values from VASP
&SYSTEM
  ibrav = 0, nat = 11, ntyp = 4
/
ATOMIC_SPECIES
O 16.00 O.upf
Ag 107.87 Ag.upf
Ca 40.08 Ca.upf
Re 186.21 Re.upf
CELL_PARAMETERS angstrom
-2.3741 5.1420 -0.3355
-3.0497 -4.1842 2.3196
4.8132 0.8601 4.2457
ATOMIC_POSITIONS crystal
O 0.6254 0.9114 0.3203
O 0.0886 0.3746 0.6797
O 0.8263 0.8263 0.6986
O 0.3746 0.0886 0.6797
O 0.9114 0.6254 0.3203
O 0.1737 0.1737 0.3014
Ag 0.8052 0.1948 0.0000
Ag 0.1948 0.8052 0.0000
Ca 0.3370 0.6630 0.5000
Ca 0.6630 0.3370 0.5000
Re 0.0000 0.0000 0.5000
! - symmetry = No. 12
! - electronic total energy (eV/atom) = -6.321
! - DOS at the Fermi energy (states/eV/atom) = 0.357
! - theoretical density (g cm⁻³) = 5.817



Record 7
! Ca2AgRh3O8 | Alexandria | PBE | relaxed; values from VASP
&SYSTEM
  ibrav = 0, nat = 14, ntyp = 4
/
ATOMIC_SPECIES
O 16.00 O.upf
Rh 102.91 Rh.upf
Ca 40.08 Ca.upf
Ag 107.87 Ag.upf
CELL_PARAMETERS angstrom
-4.0408 -4.4074 2.1986
1.9825 -5.9932 0.8598
0.7395 -2.2773 6.0240
ATOMIC_POSITIONS crystal
O 0.2514 0.6947 0.8024
O 0.3049 0.7522 0.1907
O 0.2514 0.2514 0.8024
O 0.2669 0.2669 0.1992
O 0.6947 0.2514 0.8024
O 0.7299 0.7299 0.8104
O 0.7522 0.7522 0.1907
O 0.7522 0.3049 0.1907
Rh 0.4995 0.9980 0.0031
Rh 0.4995 0.4995 0.0031
Rh 0.9980 0.4995 0.0031
Ca 0.5013 0.5013 0.4961
Ca 0.1184 0.1184 0.6447
Ag 0.8723 0.8723 0.3831
! - symmetry = No. 160
! - electronic total energy (eV/atom) = -6.214
! - DOS at the Fermi energy (states/eV/atom) = 0.229
! - theoretical density (g cm⁻³) = 5.529



Record 8
! CaAg4Ru4O12 | Alexandria | PBE | relaxed; values from VASP
&SYSTEM
  ibrav = 0, nat = 21, ntyp = 4
/
ATOMIC_SPECIES
O 16.00 O.upf
Ca 40.08 Ca.upf
Ru 101.07 Ru.upf
Ag 107.87 Ag.upf
CELL_PARAMETERS angstrom
-4.2801 -5.8597 -1.3074
-4.5577 1.9184 5.4692
1.6185 4.6692 -5.4721
ATOMIC_POSITIONS crystal
O 0.4405 0.8422 0.9975
O 0.0816 0.5816 0.5000
O 0.7169 0.2169 0.5000
O 0.8210 0.8210 0.0000
O 0.4591 0.4591 0.0000
O 0.0877 0.1889 0.4828
O 0.8447 0.4430 0.0025
O 0.8447 0.8422 0.4017
O 0.4405 0.4430 0.5983
O 0.0877 0.6049 0.8988
O 0.7061 0.1889 0.1012
O 0.7061 0.6049 0.5172
Ca 0.0268 0.0268 0.0000
Ru 0.7557 0.0136 0.2579
Ru 0.7557 0.4978 0.7421
Ru 0.2695 0.5236 0.7459
Ru 0.7777 0.5236 0.2541
Ag 0.1946 0.8728 0.3218
Ag 0.5511 0.8728 0.6782
Ag 0.2764 0.4734 0.1970
Ag 0.2764 0.0793 0.8030
! - symmetry = No. 44
! - electronic total energy (eV/atom) = -5.949
! - ΔE to the lowest computed polymorph (meV per atom) = 35
! - DOS at the Fermi energy (states/eV/atom) = 0.618
! - theoretical density (g cm⁻³) = 6.324



Record 9
! CaAg4Ru4O12 | Alexandria | PBE | relaxed; values from VASP
&SYSTEM
  ibrav = 0, nat = 21, ntyp = 4
/
ATOMIC_SPECIES
O 16.00 O.upf
Ag 107.87 Ag.upf
Ru 101.07 Ru.upf
Ca 40.08 Ca.upf
CELL_PARAMETERS angstrom
0.0000 5.3053 5.3053
5.3053 0.0000 5.3053
5.3053 5.3053 0.0000
ATOMIC_POSITIONS crystal
O 0.1898 0.8102 0.8102
O 0.4624 0.4624 0.0376
O 0.0376 0.4624 0.0376
O 0.1898 0.1898 0.8102
O 0.4624 0.0376 0.4624
O 0.8102 0.1898 0.8102
O 0.0376 0.0376 0.4624
O 0.8102 0.1898 0.1898
O 0.4624 0.0376 0.0376
O 0.8102 0.8102 0.1898
O 0.0376 0.4624 0.4624
O 0.1898 0.8102 0.1898
Ag 0.0475 0.6508 0.6508
Ag 0.6508 0.0475 0.6508
Ag 0.6508 0.6508 0.6508
Ag 0.6508 0.6508 0.0475
Ru 0.1128 0.1128 0.1128
Ru 0.1128 0.6617 0.1128
Ru 0.6617 0.1128 0.1128
Ru 0.1128 0.1128 0.6617
Ca 0.2500 0.2500 0.2500
! - symmetry = No. 216
! - electronic total energy (eV/atom) = -5.815
! - ΔE to the lowest computed polymorph (meV per atom) = 169
! - DOS at the Fermi energy (states/eV/atom) = 0.675
! - theoretical density (g cm⁻³) = 5.937



Record 10
! CaAg4Ru4O12 | Alexandria | PBE | relaxed; values from VASP
&SYSTEM
  ibrav = 0, nat = 21, ntyp = 4
/
ATOMIC_SPECIES
O 16.00 O.upf
Ru 101.07 Ru.upf
Ag 107.87 Ag.upf
Ca 40.08 Ca.upf
CELL_PARAMETERS angstrom
6.2888 -3.6823 -0.0068
6.2888 3.6823 -0.0068
4.1392 0.0000 5.9979
ATOMIC_POSITIONS crystal
O 0.0754 0.6697 0.0754
O 0.6823 0.6823 0.0640
O 0.3205 0.9313 0.3205
O 0.3143 0.9309 0.9309
O 0.9313 0.3205 0.3205
O 0.6823 0.0640 0.6823
O 0.9309 0.9309 0.3143
O 0.6697 0.0754 0.0754
O 0.3205 0.3205 0.9313
O 0.0640 0.6823 0.6823
O 0.9309 0.3143 0.9309
O 0.0754 0.0754 0.6697
Ru 0.9930 0.5045 0.9930
Ru 0.9987 0.9987 0.9987
Ru 0.5045 0.9930 0.9930
Ru 0.9930 0.9930 0.5045
Ag 0.5242 0.5242 0.5242
Ag 0.5384 0.5384 0.9074
Ag 0.9074 0.5384 0.5384
Ag 0.5384 0.9074 0.5384
Ca 0.2803 0.2803 0.2803
! - symmetry = No. 160
! - electronic total energy (eV/atom) = -5.984
! - ΔE to the lowest computed polymorph (meV per atom) = 0
! - DOS at the Fermi energy (states/eV/atom) = 0.672
! - theoretical density (g cm⁻³) = 6.378



Q: Which of these has the highest DOS at the Fermi energy?
A: number 9



Q: The lowest theoretical density belongs to which entry?
A: Ca2AgRh3O8



Q: What is the DOS at the Fermi energy in the fifth record?
A: 0.103 states/eV/atom



What did the eighth record say?
! CaAg4Ru4O12 | Alexandria | PBE | relaxed; values from VASP
&SYSTEM
  ibrav = 0, nat = 21, ntyp = 4
/
ATOMIC_SPECIES
O 16.00 O.upf
Ca 40.08 Ca.upf
Ru 101.07 Ru.upf
Ag 107.87 Ag.upf
CELL_PARAMETERS angstrom
-4.2801 -5.8597 -1.3074
-4.5577 1.9184 5.4692
1.6185 4.6692 -5.4721
ATOMIC_POSITIONS crystal
O 0.4405 0.8422 0.9975
O 0.0816 0.5816 0.5000
O 0.7169 0.2169 0.5000
O 0.8210 0.8210 0.0000
O 0.4591 0.4591 0.0000
O 0.0877 0.1889 0.4828
O 0.8447 0.4430 0.0025
O 0.8447 0.8422 0.4017
O 0.4405 0.4430 0.5983
O 0.0877 0.6049 0.8988
O 0.7061 0.1889 0.1012
O 0.7061 0.6049 0.5172
Ca 0.0268 0.0268 0.0000
Ru 0.7557 0.0136 0.2579
Ru 0.7557 0.4978 0.7421
Ru 0.2695 0.5236 0.7459
Ru 0.7777 0.5236 0.2541
Ag 0.1946 0.8728 0.3218
Ag 0.5511 0.8728 0.6782
Ag 0.2764 0.4734 0.1970
Ag 0.2764 0.0793 0.8030
! - symmetry = No. 44
! - electronic total energy (eV/atom) = -5.949
! - ΔE to the lowest computed polymorph (meV per atom) = 35
! - DOS at the Fermi energy (states/eV/atom) = 0.618
! - theoretical density (g cm⁻³) = 6.324